# 1
The following is a DFT calculation (PBE) of a relaxed ZnTc crystal.

Values from the calculation:
V ... 14.147 A^3/atom
Energy relative to the elements ... 0.044 eV per atom

Structure (POSCAR):
```
ZnTc
1.0
4.5426 0.0000 0.0000
0.0000 4.4701 0.0000
0.0000 0.0000 5.5735
Zn Tc
4 4
Direct
0.0746 0.2500 0.1279
0.4254 0.7500 0.6279
0.5746 0.2500 0.3721
0.9254 0.7500 0.8721
0.0556 0.2500 0.6283
0.4444 0.7500 0.1283
0.5556 0.2500 0.8717
0.9444 0.7500 0.3717
```

---

# 2
The following is a DFT calculation (PBE) of a relaxed HfMoP2 crystal.

Values from the calculation:
V ... 16.461 A^3/atom
E_tot ... -34.4 eV per formula unit

Structure (POSCAR):
```
HfMoP2
1.0
3.5062 0.0000 0.0000
-1.7531 3.0365 0.0000
0.0000 0.0000 12.3690
Hf Mo P
2 2 4
Direct
0.3333 0.6667 0.1239
0.6667 0.3333 0.8761
0.3333 0.6667 0.3807
0.6667 0.3333 0.6193
0.0000 0.0000 0.0000
0.0000 0.0000 0.5000
0.3333 0.6667 0.7381
0.6667 0.3333 0.2619
```